A plane-wave DFT calculation with GGA-PBE was carried out for a relaxed structure of Ti2NbGe2.

Lattice parameters (Å, degrees): 7.6267 7.6267 2.8710 90.00 90.00 90.00
Space group P4/mbm (No. 127)
Symmetry-distinct sites (fractional):
Ti1 0.1249 0.3751 0.0000 [4 per cell]
Nb1 0.0000 0.0000 0.0000 [2 per cell]
Ge1 0.1743 0.6743 0.5000 [4 per cell]

## Properties
**Magnetization**: 0.0 μB/cell
**ΔE to the lowest computed polymorph**: 0.464 eV per atom
**Raw total energy**: -7.1823 eV/atom